[1]
# PrEr3B

Crystalline PrEr3B at its relaxed geometry (PBE, the Alexandria database).

The structure belongs to space group Pm-3m (No. 221); the cell edges are 5.139, 5.139 and 5.139 Å and the angles 90.00°, 90.00° and 90.00°. Symmetry generates all atoms from Pr at (0.000, 0.000, 0.000), Er at (0.000, 0.500, 0.500) and B at (0.500, 0.500, 0.500).

For the energy of formation from the pure elements, the calculation gives 3.1 kJ/mol of atoms. The density of states at the Fermi level is 1.157 states/eV/atom. The total energy is -25.0 eV/cell.

***

[2]
# InGeCl3

Crystalline InGeCl3 at its relaxed geometry (PBE, the Alexandria database).

The structure belongs to space group P-1 (No. 2); the cell edges are 6.092, 7.331 and 8.920 Å and the angles 95.73°, 105.67° and 107.46°. Symmetry generates all atoms from In at (0.174, 0.173, 0.311), Ge at (0.367, 0.724, 0.099), Cl at (0.028, 0.250, 0.954), Cl at (0.373, 0.624, 0.344) and Cl at (0.422, 0.938, 0.775).

The density of states at the Fermi level is 0.000 states/eV/atom. The uncorrected formation energy comes out at -801 meV/atom. The total energy is -33.8 eV/cell.